one.
Compound: La6Tb12Nd
Source: Alexandria
Functional: PBE
Structure: optimized geometry

Computed properties:
- Space group: R-3m
- ρ: 7.178 g/cm³
- Density of states at the Fermi level: 33.9 states/eV/f.u.

Unit cell a=8.857 b=8.857 c=8.857 alpha=98.81 beta=98.81 gamma=98.81
Sites, in units of the cell vectors:
La 0.154 0.595 0.595
La 0.405 0.405 0.846
La 0.405 0.846 0.405
La 0.595 0.154 0.595
La 0.595 0.595 0.154
La 0.846 0.405 0.405
Tb 0.000 0.255 0.745
Tb 0.000 0.745 0.255
Tb 0.144 0.144 0.419
Tb 0.144 0.419 0.144
Tb 0.255 0.000 0.745
Tb 0.255 0.745 0.000
Tb 0.419 0.144 0.144
Tb 0.581 0.856 0.856
Tb 0.745 0.000 0.255
Tb 0.745 0.255 0.000
Tb 0.856 0.581 0.856
Tb 0.856 0.856 0.581
Nd 0.500 0.500 0.500



two.
Compound: La6Tb12Nd
Source: Alexandria
Functional: PBE
Structure: optimized geometry

Computed properties:
- Space group: R-3
- ρ: 7.339 g/cm³
- Density of states at the Fermi level: 35.2 states/eV/f.u.

Unit cell a=8.677 b=8.677 c=8.677 alpha=91.34 beta=91.34 gamma=91.34
Sites, in units of the cell vectors:
La 0.221 0.757 0.363
La 0.243 0.637 0.779
La 0.363 0.221 0.757
La 0.637 0.779 0.243
La 0.757 0.363 0.221
La 0.779 0.243 0.637
Tb 0.029 0.290 0.966
Tb 0.034 0.971 0.710
Tb 0.122 0.357 0.435
Tb 0.290 0.966 0.029
Tb 0.357 0.435 0.122
Tb 0.435 0.122 0.357
Tb 0.565 0.878 0.643
Tb 0.643 0.565 0.878
Tb 0.710 0.034 0.971
Tb 0.878 0.643 0.565
Tb 0.966 0.029 0.290
Tb 0.971 0.710 0.034
Nd 0.500 0.500 0.500



Which of them is the least stable? Correct choice: one.



one.
Compound: LaTb6Nd
Source: Alexandria
Functional: PBE
Structure: optimized geometry

Computed properties:
- Space group: P4/mmm
- ρ: 7.778 g/cm³
- Density of states at the Fermi level: 12.4 states/eV/f.u.

Unit cell a=5.092 b=5.092 c=10.185 alpha=90.00 beta=90.00 gamma=90.00
Sites, in units of the cell vectors:
La 0.000 0.000 0.000
Tb 0.000 0.500 0.252
Tb 0.000 0.500 0.748
Tb 0.500 0.000 0.252
Tb 0.500 0.000 0.748
Tb 0.500 0.500 0.000
Tb 0.500 0.500 0.500
Nd 0.000 0.000 0.500



two.
Compound: LaTb6Nd
Source: Alexandria
Functional: PBE
Structure: optimized geometry

Computed properties:
- Space group: C2/m
- ρ: 7.075 g/cm³
- Density of states at the Fermi level: 11.5 states/eV/f.u.

Unit cell a=6.185 b=6.185 c=8.553 alpha=102.40 beta=102.40 gamma=66.61
Sites, in units of the cell vectors:
La 0.000 0.000 0.000
Tb 0.062 0.541 0.201
Tb 0.376 0.376 0.578
Tb 0.459 0.938 0.799
Tb 0.541 0.062 0.201
Tb 0.624 0.624 0.422
Tb 0.938 0.459 0.799
Nd 0.000 0.000 0.500



Which of them is the least stable? Correct choice: two.



one.
Compound: LaTb7Nd12
Source: Alexandria
Functional: PBE
Structure: optimized geometry

Computed properties:
- Space group: Im-3m
- ρ: 6.295 g/cm³
- Density of states at the Fermi level: 27.3 states/eV/f.u.

Unit cell a=10.073 b=10.073 c=10.073 alpha=109.47 beta=109.47 gamma=109.47
Sites, in units of the cell vectors:
La 0.000 0.000 0.000
Tb 0.000 0.000 0.500
Tb 0.000 0.500 0.000
Tb 0.000 0.500 0.500
Tb 0.500 0.000 0.000
Tb 0.500 0.000 0.500
Tb 0.500 0.500 0.000
Tb 0.500 0.500 0.500
Nd 0.000 0.255 0.745
Nd 0.000 0.745 0.255
Nd 0.255 0.000 0.745
Nd 0.255 0.255 0.509
Nd 0.255 0.509 0.255
Nd 0.255 0.745 0.000
Nd 0.491 0.745 0.745
Nd 0.509 0.255 0.255
Nd 0.745 0.000 0.255
Nd 0.745 0.255 0.000
Nd 0.745 0.491 0.745
Nd 0.745 0.745 0.491



two.
Compound: LaTb7Nd12
Source: Alexandria
Functional: PBE
Structure: optimized geometry

Computed properties:
- Space group: R-3
- ρ: 7.046 g/cm³
- Density of states at the Fermi level: 29.8 states/eV/f.u.

Unit cell a=10.283 b=10.283 c=10.283 alpha=113.09 beta=113.09 gamma=113.09
Sites, in units of the cell vectors:
La 0.000 0.000 0.000
Tb 0.164 0.164 0.494
Tb 0.164 0.494 0.164
Tb 0.494 0.164 0.164
Tb 0.500 0.500 0.500
Tb 0.506 0.836 0.836
Tb 0.836 0.506 0.836
Tb 0.836 0.836 0.506
Nd 0.001 0.714 0.287
Nd 0.071 0.413 0.413
Nd 0.286 0.713 0.999
Nd 0.287 0.001 0.714
Nd 0.413 0.071 0.413
Nd 0.413 0.413 0.071
Nd 0.587 0.587 0.929
Nd 0.587 0.929 0.587
Nd 0.713 0.999 0.286
Nd 0.714 0.287 0.001
Nd 0.929 0.587 0.587
Nd 0.999 0.286 0.713



Which of them is the least stable? Correct choice: one.



one.
Compound: LaTb6Nd12
Source: Alexandria
Functional: PBE
Structure: optimized geometry

Computed properties:
- Space group: R-3
- ρ: 7.053 g/cm³
- Density of states at the Fermi level: 31.2 states/eV/f.u.

Unit cell a=8.729 b=8.729 c=8.729 alpha=88.90 beta=88.90 gamma=88.90
Sites, in units of the cell vectors:
La 0.000 0.000 0.000
Tb 0.098 0.699 0.259
Tb 0.259 0.098 0.699
Tb 0.301 0.741 0.902
Tb 0.699 0.259 0.098
Tb 0.741 0.902 0.301
Tb 0.902 0.301 0.741
Nd 0.017 0.197 0.362
Nd 0.197 0.362 0.017
Nd 0.220 0.463 0.567
Nd 0.362 0.017 0.197
Nd 0.433 0.780 0.537
Nd 0.463 0.567 0.220
Nd 0.537 0.433 0.780
Nd 0.567 0.220 0.463
Nd 0.638 0.983 0.803
Nd 0.780 0.537 0.433
Nd 0.803 0.638 0.983
Nd 0.983 0.803 0.638



two.
Compound: LaTb6Nd12
Source: Alexandria
Functional: PBE
Structure: optimized geometry

Computed properties:
- Space group: R-3m
- ρ: 6.947 g/cm³
- Density of states at the Fermi level: 38.0 states/eV/f.u.

Unit cell a=8.906 b=8.906 c=8.906 alpha=99.32 beta=99.32 gamma=99.32
Sites, in units of the cell vectors:
La 0.000 0.000 0.000
Tb 0.099 0.099 0.661
Tb 0.099 0.661 0.099
Tb 0.339 0.901 0.901
Tb 0.661 0.099 0.099
Tb 0.901 0.339 0.901
Tb 0.901 0.901 0.339
Nd 0.082 0.354 0.354
Nd 0.240 0.500 0.760
Nd 0.240 0.760 0.500
Nd 0.354 0.082 0.354
Nd 0.354 0.354 0.082
Nd 0.500 0.240 0.760
Nd 0.500 0.760 0.240
Nd 0.646 0.646 0.918
Nd 0.646 0.918 0.646
Nd 0.760 0.240 0.500
Nd 0.760 0.500 0.240
Nd 0.918 0.646 0.646



Which of them is the least stable? Correct choice: two.



one.
Compound: La2Tb3Nd8
Source: Alexandria
Functional: PBE
Structure: optimized geometry

Computed properties:
- Space group: C2/m
- ρ: 6.952 g/cm³
- Density of states at the Fermi level: 21.8 states/eV/f.u.

Unit cell a=8.997 b=8.997 c=6.196 alpha=107.52 beta=107.52 gamma=83.50
Sites, in units of the cell vectors:
La 0.194 0.194 0.348
La 0.806 0.806 0.652
Tb 0.241 0.759 0.000
Tb 0.500 0.500 0.500
Tb 0.759 0.241 0.000
Nd 0.081 0.081 0.767
Nd 0.092 0.579 0.336
Nd 0.359 0.359 0.913
Nd 0.421 0.908 0.664
Nd 0.579 0.092 0.336
Nd 0.641 0.641 0.087
Nd 0.908 0.421 0.664
Nd 0.919 0.919 0.233



two.
Compound: La2Tb3Nd8
Source: Alexandria
Functional: PBE
Structure: optimized geometry

Computed properties:
- Space group: C2/m
- ρ: 6.773 g/cm³
- Density of states at the Fermi level: 20.8 states/eV/f.u.

Unit cell a=11.243 b=11.243 c=5.731 alpha=90.02 beta=90.02 gamma=40.24
Sites, in units of the cell vectors:
La 0.241 0.241 0.499
La 0.759 0.759 0.501
Tb 0.000 0.000 0.500
Tb 0.285 0.715 0.000
Tb 0.715 0.285 0.000
Nd 0.129 0.129 0.000
Nd 0.191 0.603 0.500
Nd 0.333 0.333 0.999
Nd 0.397 0.809 0.500
Nd 0.603 0.191 0.500
Nd 0.667 0.667 0.001
Nd 0.809 0.397 0.500
Nd 0.871 0.871 0.000



Which of them is the least stable? Correct choice: two.



one.
Compound: LaTb12Nd7
Source: Alexandria
Functional: PBE
Structure: optimized geometry

Computed properties:
- Space group: R-3
- ρ: 7.427 g/cm³
- Density of states at the Fermi level: 36.5 states/eV/f.u.

Unit cell a=8.808 b=8.808 c=8.808 alpha=89.19 beta=89.19 gamma=89.19
Sites, in units of the cell vectors:
La 0.000 0.000 0.000
Tb 0.115 0.443 0.345
Tb 0.222 0.762 0.630
Tb 0.238 0.370 0.778
Tb 0.345 0.115 0.443
Tb 0.370 0.778 0.238
Tb 0.443 0.345 0.115
Tb 0.557 0.655 0.885
Tb 0.630 0.222 0.762
Tb 0.655 0.885 0.557
Tb 0.762 0.630 0.222
Tb 0.778 0.238 0.370
Tb 0.885 0.557 0.655
Nd 0.002 0.122 0.640
Nd 0.122 0.640 0.002
Nd 0.360 0.998 0.878
Nd 0.500 0.500 0.500
Nd 0.640 0.002 0.122
Nd 0.878 0.360 0.998
Nd 0.998 0.878 0.360



two.
Compound: LaTb12Nd7
Source: Alexandria
Functional: PBE
Structure: optimized geometry

Computed properties:
- Space group: Im-3m
- ρ: 6.816 g/cm³
- Density of states at the Fermi level: 29.4 states/eV/f.u.

Unit cell a=9.889 b=9.889 c=9.889 alpha=109.47 beta=109.47 gamma=109.47
Sites, in units of the cell vectors:
La 0.000 0.000 0.000
Tb 0.000 0.252 0.748
Tb 0.000 0.748 0.252
Tb 0.252 0.000 0.748
Tb 0.252 0.252 0.504
Tb 0.252 0.504 0.252
Tb 0.252 0.748 0.000
Tb 0.496 0.748 0.748
Tb 0.504 0.252 0.252
Tb 0.748 0.000 0.252
Tb 0.748 0.252 0.000
Tb 0.748 0.496 0.748
Tb 0.748 0.748 0.496
Nd 0.000 0.000 0.500
Nd 0.000 0.500 0.000
Nd 0.000 0.500 0.500
Nd 0.500 0.000 0.000
Nd 0.500 0.000 0.500
Nd 0.500 0.500 0.000
Nd 0.500 0.500 0.500



Which of them is the least stable? Correct choice: two.



one.
Compound: LaTb2Nd3
Source: Alexandria
Functional: PBE
Structure: optimized geometry

Computed properties:
- Space group: Immm
- ρ: 7.012 g/cm³
- Density of states at the Fermi level: 10.8 states/eV/f.u.

Unit cell a=10.545 b=10.545 c=10.545 alpha=160.83 beta=146.80 gamma=38.62
Sites, in units of the cell vectors:
La 0.000 0.000 0.000
Tb 0.362 0.362 0.000
Tb 0.638 0.638 0.000
Nd 0.192 0.192 0.000
Nd 0.500 0.000 0.500
Nd 0.808 0.808 0.000



two.
Compound: LaTb2Nd3
Source: Alexandria
Functional: PBE
Structure: optimized geometry

Computed properties:
- Space group: C2/c
- ρ: 7.161 g/cm³
- Density of states at the Fermi level: 8.9 states/eV/f.u.

Unit cell a=6.789 b=6.789 c=11.559 alpha=115.09 beta=115.09 gamma=63.22
Sites, in units of the cell vectors:
La 0.005 0.995 0.750
La 0.995 0.005 0.250
Tb 0.084 0.584 0.418
Tb 0.416 0.916 0.082
Tb 0.584 0.084 0.918
Tb 0.916 0.416 0.582
Nd 0.084 0.580 0.916
Nd 0.420 0.916 0.584
Nd 0.497 0.503 0.750
Nd 0.503 0.497 0.250
Nd 0.580 0.084 0.416
Nd 0.916 0.420 0.084



Which of them is the least stable? Correct choice: one.



one.
Compound: La2Tb5Nd
Source: Alexandria
Functional: PBE
Structure: optimized geometry

Computed properties:
- Space group: Pbam
- ρ: 7.501 g/cm³
- Density of states at the Fermi level: 12.8 states/eV/f.u.

Unit cell a=7.231 b=14.470 c=5.149 alpha=90.00 beta=90.00 gamma=90.00
Sites, in units of the cell vectors:
La 0.247 0.126 0.000
La 0.253 0.626 0.000
La 0.747 0.374 0.000
La 0.753 0.874 0.000
Tb 0.000 0.000 0.500
Tb 0.004 0.751 0.500
Tb 0.247 0.375 0.000
Tb 0.253 0.875 0.000
Tb 0.496 0.251 0.500
Tb 0.500 0.500 0.500
Tb 0.504 0.749 0.500
Tb 0.747 0.125 0.000
Tb 0.753 0.625 0.000
Tb 0.996 0.249 0.500
Nd 0.000 0.500 0.500
Nd 0.500 0.000 0.500



two.
Compound: La2Tb5Nd
Source: Alexandria
Functional: PBE
Structure: optimized geometry

Computed properties:
- Space group: P-1
- ρ: 7.382 g/cm³
- Density of states at the Fermi level: 12.4 states/eV/f.u.

Unit cell a=8.561 b=11.555 c=11.557 alpha=89.79 beta=77.84 gamma=78.64
Sites, in units of the cell vectors:
La 0.021 0.140 0.402
La 0.122 0.956 0.109
La 0.150 0.226 0.964
La 0.232 0.067 0.664
La 0.768 0.933 0.336
La 0.850 0.774 0.036
La 0.878 0.044 0.891
La 0.979 0.860 0.598
Tb 0.013 0.400 0.246
Tb 0.110 0.679 0.300
Tb 0.180 0.419 0.484
Tb 0.201 0.534 0.994
Tb 0.221 0.793 0.823
Tb 0.345 0.885 0.373
Tb 0.353 0.636 0.547
Tb 0.426 0.167 0.398
Tb 0.442 0.725 0.073
Tb 0.500 0.038 0.132
Tb 0.500 0.962 0.868
Tb 0.558 0.275 0.927
Tb 0.574 0.833 0.602
Tb 0.647 0.364 0.453
Tb 0.655 0.115 0.627
Tb 0.779 0.207 0.177
Tb 0.799 0.466 0.006
Tb 0.820 0.581 0.516
Tb 0.890 0.321 0.700
Tb 0.987 0.600 0.754
Nd 0.339 0.370 0.717
Nd 0.431 0.419 0.205
Nd 0.569 0.581 0.795
Nd 0.661 0.630 0.283



Which of them is the least stable? Correct choice: two.